NaTl2GeF6 (PBE, optimized geometry); formation energy without anion corrections = -2.0968 eV/atom; energy = -0.3150 Ry/atom; N(E_F) = 1.80 states/eV per cell; mass density = 5.20 Mg/m³
1.0
5.8772 0.0000 0.0000
0.0000 6.2275 0.0000
0.0000 -3.1138 5.3932
Na Tl Ge F
1 2 1 6
Direct
0.5000 0.0000 0.0000
0.1547 0.3333 0.6667
0.8453 0.6667 0.3333
0.0000 0.0000 0.0000
0.7952 0.1497 0.2994
0.7952 0.1497 0.8503
0.7952 0.7006 0.8503
0.2048 0.8503 0.1497
0.2048 0.2994 0.1497
0.2048 0.8503 0.7006